(1)
Material: Tb5Pr6Tm
Method: DFT, PBE
State: relaxed

Results
VASP energy = -4.676 eV/atom

a = 5.1669 Å, b = 10.1754 Å, c = 15.4447 Å
α = 90.00°, β = 90.00°, γ = 90.00°
Space group Immm (No. 71)
Symmetry-distinct sites (fractional):
Tb 0.0000 0.0000 0.0000 (multiplicity 2)
Tb 0.0000 0.0000 0.3337 (multiplicity 4)
Tb 0.0000 0.5000 0.3333 (multiplicity 4)
Pr 0.0000 0.2492 0.5000 (multiplicity 4)
Pr 0.0000 0.2505 0.1665 (multiplicity 8)
Tm 0.0000 0.5000 0.0000 (multiplicity 2)



(2)
Material: HgBiAuF2
Method: DFT, PBE
State: relaxed

Results
VASP energy = -3.418 eV/atom
Raw formation energy = -1.18 eV per atom

a = 4.5140 Å, b = 4.5140 Å, c = 5.7130 Å
α = 90.00°, β = 90.00°, γ = 90.00°
Space group P4/mmm (No. 123)
Symmetry-distinct sites (fractional):
Hg 0.0000 0.0000 0.0000 (multiplicity 1)
Bi 0.5000 0.5000 0.5000 (multiplicity 1)
Au 0.5000 0.5000 0.0000 (multiplicity 1)
F 0.0000 0.5000 0.5000 (multiplicity 2)



(3)
Material: NdScPd2
Method: DFT, PBE
State: relaxed

Results
VASP energy = -6.156 eV/atom

a = 4.6184 Å, b = 4.6184 Å, c = 9.5061 Å
α = 90.00°, β = 90.00°, γ = 120.00°
Space group P6_3/mmc (No. 194)
Symmetry-distinct sites (fractional):
Nd 0.3333 0.6667 0.2500 (multiplicity 2)
Sc 0.0000 0.0000 0.0000 (multiplicity 2)
Pd 0.3333 0.6667 0.5811 (multiplicity 4)